The following is a DFT calculation (PBE) of a geometry-optimized HfMgSc3 structure.

a = 6.1843 Å, b = 5.8515 Å, c = 13.0031 Å
α = 89.99°, β = 90.00°, γ = 89.99°
Fractional positions:
Hf 0.0000 0.2499 0.1291
Hf 0.0000 0.7501 0.8709
Hf 0.5001 0.2500 0.1291
Hf 0.4999 0.7500 0.8709
Mg 0.2500 0.9559 0.6885
Mg 0.7500 0.5441 0.6885
Mg 0.7500 0.0441 0.3115
Mg 0.2500 0.4559 0.3115
Sc 0.0000 0.2500 0.4922
Sc 0.5000 0.7500 0.5078
Sc 0.2499 0.7262 0.0771
Sc 0.2500 0.9465 0.2992
Sc 0.2500 0.2263 0.9229
Sc 0.5000 0.2500 0.4922
Sc 0.7500 0.7737 0.0771
Sc 0.2499 0.4465 0.7008
Sc 0.7501 0.5535 0.2992
Sc 0.0000 0.7500 0.5078
Sc 0.7500 0.0535 0.7008
Sc 0.7501 0.2738 0.9229

Results
Total magnetic moment ... 0.000 μB/cell
Space-group type ... Pbcm (57)
ΔE_f ... 0.69 eV/f.u.

The following is a DFT calculation (PBE) of a geometry-optimized Hf3MgSc structure.

a = 5.0462 Å, b = 5.0462 Å, c = 5.0462 Å
α = 90.00°, β = 90.00°, γ = 90.00°
Fractional positions:
Hf 0.5000 0.0000 0.0000
Hf 0.0000 0.0000 0.5000
Hf 0.0000 0.5000 0.0000
Mg 0.5000 0.5000 0.5000
Sc 0.0000 0.0000 0.0000

Results
Total magnetic moment ... 0.000 μB/cell
Space-group type ... Pm-3m (221)
ΔE_f ... 5.92 eV/f.u.

The following is a DFT calculation (PBE) of a geometry-optimized HfMgSc2 structure.

a = 4.4848 Å, b = 4.5236 Å, c = 4.5236 Å
α = 90.00°, β = 90.00°, γ = 90.00°
Fractional positions:
Sc 0.0000 0.5000 0.0000
Sc 0.0000 0.0000 0.5000
Hf 0.5000 0.5000 0.5000
Mg 0.5000 0.0000 0.0000

Results
Total magnetic moment ... 0.001 μB/cell
Space-group type ... P4/mmm (123)
ΔE_f ... 0.45 eV/f.u.

The following is a DFT calculation (PBE) of a geometry-optimized Hf2MgSc8 structure.

a = 4.5058 Å, b = 7.2794 Å, c = 8.5988 Å
α = 104.88°, β = 105.19°, γ = 90.00°
Fractional positions:
Mg 0.5000 0.0000 0.0000
Hf 0.2255 0.6277 0.4510
Hf 0.7745 0.3723 0.5490
Sc 0.6845 0.9086 0.3689
Sc 0.0479 0.7195 0.0958
Sc 0.8583 0.8092 0.7167
Sc 0.9521 0.2805 0.9042
Sc 0.3155 0.0914 0.6311
Sc 0.5968 0.4542 0.1936
Sc 0.1417 0.1908 0.2833
Sc 0.4032 0.5458 0.8064

Results
Total magnetic moment ... 0.000 μB/cell
Space-group type ... C2/m (12)
ΔE_f ... 0.38 eV/f.u.

The following is a DFT calculation (PBE) of a geometry-optimized HfMg3Sc12 structure.

a = 4.5772 Å, b = 4.5772 Å, c = 18.2781 Å
α = 90.00°, β = 90.00°, γ = 90.00°
Fractional positions:
Sc 0.0000 0.5000 0.8795
Sc 0.0000 0.5000 0.3748
Sc 0.5000 0.0000 0.1205
Sc 0.5000 0.5000 0.5000
Sc 0.0000 0.5000 0.6252
Sc 0.5000 0.0000 0.8795
Sc 0.5000 0.0000 0.6252
Sc 0.5000 0.5000 0.0000
Sc 0.5000 0.5000 0.2510
Sc 0.5000 0.5000 0.7490
Sc 0.0000 0.5000 0.1205
Sc 0.5000 0.0000 0.3748
Mg 0.0000 0.0000 0.2503
Mg 0.0000 0.0000 0.5000
Mg 0.0000 0.0000 0.7497
Hf 0.0000 0.0000 0.0000

Results
Total magnetic moment ... 0.127 μB/cell
Space-group type ... P4/mmm (123)
ΔE_f ... 0.54 eV/f.u.

The following is a DFT calculation (PBE) of a geometry-optimized HfMgSc structure.

a = 3.2064 Å, b = 3.2064 Å, c = 13.3979 Å
α = 90.00°, β = 90.00°, γ = 90.00°
Fractional positions:
Hf 0.0000 0.5000 0.5834
Hf 0.5000 0.0000 0.4166
Mg 0.5000 0.0000 0.0809
Mg 0.0000 0.5000 0.9191
Sc 0.0000 0.5000 0.2544
Sc 0.5000 0.0000 0.7456

Results
Total magnetic moment ... 0.000 μB/cell
Space-group type ... P4/nmm (129)
ΔE_f ... -0.08 eV/f.u.

Q: Which of these has the highest total magnetic moment?
A: HfMg3Sc12